# MnV4Ge2 (PBE-GGA, optimized geometry)
data_MnV4Ge2
_space_group_name_H-M_alt 'I 4/m m m'
_space_group_IT_number 139
_space_group_name_Hall '-I 4 2'
_cell_length_a 4.185
_cell_length_b 4.185
_cell_length_c 13.059
_cell_angle_alpha 90.00
_cell_angle_beta 90.00
_cell_angle_gamma 90.00
loop_
_atom_site_label
_atom_site_type_symbol
_atom_site_fract_x
_atom_site_fract_y
_atom_site_fract_z
Mn1 Mn 0.000 0.000 0.000
V1 V 0.000 0.000 0.171
V2 V 0.000 0.500 0.000
Ge1 Ge 0.000 0.000 0.364
# **Energy of formation**: 0.4477 eV per atom
# **Uncorrected energy**: -0.2717 Ha/atom
# **Energy above the lowest structure with this stoichiometry**: 0.582 eV per atom
# **Density**: 5.9 g/cm³
# **Total magnetic moment**: 1.577 μB/f.u.